[1]
Below is an optimized crystal structure of CaDyTc2O8, with properties calculated at the PBE level.

Space-group type: P-3m1 (164)

Lattice parameters (Å, degrees): 5.9069 5.9069 6.7640 90.00 90.00 120.00
Each line ends with the local moment (μB).
Positions (direct):
O1 0.3333 0.6667 0.0667  0.14
O2 0.6768 0.8382 0.7272  0.06
O3 0.8386 0.6768 0.2728  0.06
O4 0.3232 0.1618 0.2728  0.06
O5 0.8382 0.1614 0.2728  0.06
O6 0.1618 0.8386 0.7272  0.06
O7 0.1614 0.3232 0.7272  0.06
O8 0.6667 0.3333 0.9333  0.14
Tc1 0.3333 0.6667 0.8074  0.98
Tc2 0.6667 0.3333 0.1926  0.98
Dy1 0.0000 0.0000 0.5000  0.08
Ca1 0.0000 0.0000 0.0000  0.01

=====

[2]
Below is an optimized crystal structure of CaDy2UO6, with properties calculated at the PBE level.

Space-group type: P1 (1)

Lattice parameters (Å, degrees): 5.8735 5.8913 6.1049 61.31 61.19 59.98
Each line ends with the local moment (μB).
Positions (direct):
O1 0.3987 0.7035 0.7570  -0.01
O2 0.9175 0.6225 0.2429  -0.01
O3 0.7052 0.1412 0.7556  -0.01
O4 0.2200 0.9160 0.2432  -0.02
O5 0.1380 0.3979 0.7643  -0.02
O6 0.6147 0.2193 0.2456  -0.02
Ca1 0.8047 0.8051 0.5855  0.00
Dy1 0.0235 0.0203 0.9321  0.03
Dy2 0.5272 0.5271 0.4220  0.02
U1 0.3120 0.3087 0.0670  1.95

=====

Record-wise theoretical density values, in kg/m³: 4278 7632
Record-wise ΔE_f (raw) values, in eV/atom: -2.025 -3.289